[1]
Ni2HgCl | PBE | relaxed

The calculation puts the relative energy among the computed polymorphs at 0.169 eV/atom. The value obtained for the formation energy (no corrections) is 248 meV per atom.

The space group is Imm2 (No. 44) and the conventional cell measures 3.0030, 4.4756 and 11.1234 Å, with angles of 90.00, 90.00 and 90.00 degrees. The distinct sites, in fractional coordinates, are Ni at (0.0000, 0.0000, 0.0000), Ni at (0.0000, 0.5000, 0.3271), Hg at (0.0000, 0.0000, 0.4394) and Cl at (0.0000, 0.5000, 0.6604).



[2]
YTm2Zn2In2 | PBE | relaxed

The value obtained for the formation energy from the elements is -264 meV per atom.

The space group is R-3m (No. 166, hexagonal axes) and the conventional cell measures 4.6946, 4.6946 and 26.8134 Å, with angles of 90.00, 90.00 and 120.00 degrees. The distinct sites, in fractional coordinates, are Y at (0.0000, 0.0000, 0.0000), Tm at (0.0000, 0.0000, 0.1282), Zn at (0.0000, 0.0000, 0.3990) and In at (0.0000, 0.0000, 0.2609).



[3]
SrCo2Si | PBE | relaxed

The value obtained for the formation energy (no corrections) is -254 meV per atom.

The space group is R3m (No. 160, hexagonal axes) and the conventional cell measures 4.0496, 4.0496 and 16.3696 Å, with angles of 90.00, 90.00 and 120.00 degrees. The distinct sites, in fractional coordinates, are Sr at (0.0000, 0.0000, 0.0000), Co at (0.0000, 0.0000, 0.1851), Co at (0.0000, 0.0000, 0.5022) and Si at (0.0000, 0.0000, 0.8119).



[4]
CaCoGe2 | PBE | relaxed

The value obtained for the formation energy from the elements is -17 meV per atom.

The space group is Fm-3m (No. 225) and the conventional cell measures 6.4892, 6.4892 and 6.4892 Å, with angles of 90.00, 90.00 and 90.00 degrees. The distinct sites, in fractional coordinates, are Ca at (0.0000, 0.0000, 0.0000), Co at (0.0000, 0.0000, 0.5000) and Ge at (0.2500, 0.2500, 0.2500).



[5]
SmSiC2 | PBE | relaxed

The value obtained for the formation energy (no corrections) is 545 meV per atom.

The space group is R-3m (No. 166, hexagonal axes) and the conventional cell measures 3.3534, 3.3534 and 15.3310 Å, with angles of 90.00, 90.00 and 120.00 degrees. The distinct sites, in fractional coordinates, are Sm at (0.0000, 0.0000, 0.0000), Si at (0.0000, 0.0000, 0.5000) and C at (0.0000, 0.0000, 0.2278).



[6]
MnAg2Mo | PBE | relaxed

The calculation puts the relative energy among the computed polymorphs at 0.174 eV/atom. The value obtained for the formation energy from the elements is 470 meV per atom.

The space group is P4/mmm (No. 123) and the conventional cell measures 2.7511, 2.7511 and 8.6656 Å, with angles of 90.00, 90.00 and 90.00 degrees. The distinct sites, in fractional coordinates, are Mn at (0.0000, 0.0000, 0.0000), Ag at (0.5000, 0.5000, 0.2419) and Mo at (0.0000, 0.0000, 0.5000).



In the order shown, the computed E values come out to -3.180; -3.611; -5.583; -4.603; -6.603; -5.955 eV per atom.
In the order shown, the computed volume values come out to 18.7; 24.4; 19.4; 17.1; 12.4; 16.4 A^3/atom.